Material: TiCoCu2Au
Method: DFT, GGA-PBE
State: optimized geometry

Cell: 4.5713 4.5713 4.8964 Å, 90.00 90.00 90.00°
Closest atoms and distances in Å follow each position.
Atoms (fractional coordinates):
Ti 0.0000 0.0000 0.0000  4 Cu 2.29, 2 Au 2.45
Co 0.5000 0.5000 0.5000  4 Au 3.23, 8 Cu 3.35
Cu 0.0000 0.5000 0.0000  2 Ti 2.29
Cu 0.5000 0.0000 0.0000  2 Ti 2.29
Au 0.0000 0.0000 0.5000  2 Ti 2.45

Properties
As for the calculated formation energy: 1384.9 meV/atom. Its magnetization is 3.36 μB per cell.